A plane-wave DFT calculation with PBE+U was carried out for a relaxed structure of Be4V3PbO12.

Lattice parameters (Å, degrees): 6.2666 6.2666 6.2666 105.97 105.97 105.97
With the nearest neighbours (Å) after each atom.
Atoms (fractional coordinates):
Be  0.9415  0.0585  0.5000  3 O 1.54-1.55
Be  0.0585  0.5000  0.9415  3 O 1.54-1.55
Be  0.5000  0.9415  0.0585  3 O 1.54-1.55
Be  0.5000  0.5000  0.5000  3 O 1.57
V  0.5555  0.4445  0.0000  6 O 1.82-2.00
V  0.4445  0.0000  0.5555  6 O 1.82-2.00
V  0.0000  0.5555  0.4445  6 O 1.82-2.00
Pb  0.0000  0.0000  0.0000  6 O 2.54
O  0.5000  0.3428  0.6572  1 Be 1.57
O  0.9048  0.5000  0.0952  1 Be 1.54
O  0.0952  0.9048  0.5000  1 Be 1.54
O  0.5000  0.0952  0.9048  1 Be 1.54
O  0.3808  0.9711  0.2457  1 Be 1.55
O  0.2457  0.3808  0.9711  1 Be 1.55
O  0.9711  0.2457  0.3808  1 Be 1.55
O  0.6192  0.7543  0.0289  1 Be 1.55
O  0.0289  0.6192  0.7543  1 Be 1.55
O  0.7543  0.0289  0.6192  1 Be 1.55
O  0.6572  0.5000  0.3428  1 Be 1.57
O  0.3428  0.6572  0.5000  1 Be 1.57

## Properties
Its total magnetization is 1.00 μB/f.u. As for the space group: R32, No. 155. The value obtained for the total energy is -141.1 eV per formula unit.